No. 1
Here is a geometry-optimized ScPd2Pt4 structure from Alexandria via LeMat-Bulk. Energies are from GGA-PBE.

Values from the calculation:
Total energy = -6.247 eV per atom
Symmetry = P1 (1)
Calculated density = 14.48 g/cm³
Size of the total moment = 0.000 μB/atom
ΔE_f = -407 meV/atom
DOS(E_F) = 0.988 states/eV/atom

Geometry as POSCAR:
```
ScPd2Pt4
1.0
-2.602 -1.017 -6.242
6.807 -0.147 1.034
-2.944 -5.184 3.543
Sc Pd Pt
2 4 8
direct
0.214 0.784 0.409
0.941 0.854 0.854
0.459 0.408 0.235
0.244 0.234 0.769
0.785 0.546 0.046
0.534 0.767 0.088
0.726 0.989 0.540
0.430 0.622 0.636
0.552 0.291 0.567
0.808 0.317 0.330
0.058 0.528 0.780
0.059 0.096 0.318
0.007 0.302 0.038
0.435 0.013 0.888
```



No. 2
Here is a geometry-optimized ScPdPt structure from Alexandria via LeMat-Bulk. Energies are from GGA-PBE.

Values from the calculation:
Total energy = -6.852 eV per atom
Symmetry = Pnma (62)
Calculated density = 11.09 g/cm³
Size of the total moment = 0.000 μB/atom
E above lowest polymorph = 0.015 eV per atom
ΔE_f = -997 meV/atom
DOS(E_F) = 0.449 states/eV/atom

Geometry as POSCAR:
```
ScPdPt
1.0
4.456 0.000 0.000
0.000 5.498 0.000
0.000 0.000 8.474
Pd Pt Sc
4 4 4
direct
0.750 0.515 0.742
0.250 0.985 0.242
0.250 0.485 0.258
0.750 0.015 0.758
0.750 0.742 0.374
0.250 0.758 0.874
0.250 0.258 0.626
0.750 0.242 0.126
0.750 0.740 0.058
0.250 0.760 0.558
0.250 0.260 0.942
0.750 0.240 0.442
```